# 1
Ac3LaIr2 (PBE, relaxed); energy of formation = -3.58 eV/f.u.; spin magnetization = 0.000 Bohr magnetons per cell
1.0
-3.525 2.429 -0.977
-3.843 1.775 8.399
4.022 10.471 1.594
Ac La Ir
6 2 4
direct
0.814 0.817 0.555
0.938 0.931 0.195
0.062 0.069 0.805
0.312 0.322 0.054
0.186 0.183 0.445
0.688 0.678 0.946
0.441 0.417 0.700
0.559 0.583 0.300
0.123 0.624 0.129
0.624 0.126 0.625
0.376 0.874 0.375
0.877 0.376 0.871


# 2
Ac2LaIr (PBE, relaxed); energy of formation = -0.61 eV/f.u.; spin magnetization = 0.695 Bohr magnetons per cell; E above lowest polymorph = 110.2 kJ/mol of formula units
1.0
-1.835 2.754 -2.504
-2.950 -1.241 -2.642
-9.325 2.397 6.028
Ac La Ir
2 1 1
direct
0.116 0.116 0.653
0.884 0.884 0.347
0.000 0.000 0.000
0.500 0.500 0.500


# 3
Ac2LaIr9 (PBE, relaxed); energy of formation = -5.42 eV/f.u.; spin magnetization = 0.000 Bohr magnetons per cell
1.0
-1.298 5.304 -0.041
-1.899 2.311 -4.569
-9.475 0.500 0.928
Ir Ac La
9 2 1
direct
0.424 0.424 0.236
0.576 0.576 0.764
0.424 0.915 0.236
0.085 0.576 0.764
0.500 0.500 0.500
0.576 0.085 0.764
0.669 0.669 0.994
0.331 0.331 0.006
0.915 0.424 0.236
0.861 0.861 0.418
0.139 0.139 0.582
0.000 0.000 0.000


# 4
Ac3La2Ir2 (PBE, relaxed); energy of formation = -3.35 eV/f.u.; spin magnetization = 0.000 Bohr magnetons per cell
1.0
3.981 -0.002 -0.889
-2.580 6.163 -2.173
0.106 -0.373 9.761
Ir Ac La
2 3 2
direct
0.995 0.162 0.827
0.005 0.838 0.173
0.203 0.831 0.577
0.797 0.169 0.423
0.500 0.000 0.000
0.364 0.546 0.181
0.636 0.454 0.819


# 5
Ac2LaIr2 (PBE, relaxed); energy of formation = -3.09 eV/f.u.; spin magnetization = 0.000 Bohr magnetons per cell; E above lowest polymorph = 0.0 kJ/mol of formula units
1.0
-4.358 -0.174 4.237
4.821 -5.751 0.359
3.427 6.976 3.812
Ac Ir La
4 4 2
direct
0.010 0.021 0.737
0.336 0.673 0.424
0.990 0.979 0.263
0.664 0.327 0.576
0.485 0.970 0.228
0.177 0.354 0.597
0.515 0.030 0.772
0.823 0.646 0.403
0.651 0.301 0.104
0.349 0.699 0.896


# 6
Ac2LaIr2 (PBE, relaxed); energy of formation = -1.41 eV/f.u.; spin magnetization = 0.000 Bohr magnetons per cell; E above lowest polymorph = 162.2 kJ/mol of formula units
1.0
7.562 -1.101 0.000
-3.998 6.513 0.000
-1.782 -2.706 7.545
Ac Ir La
4 4 2
direct
0.815 0.185 0.000
0.435 0.565 0.500
0.185 0.815 0.000
0.065 0.935 0.500
0.625 0.375 0.750
0.625 0.375 0.250
0.625 0.875 0.250
0.125 0.375 0.750
0.500 0.500 0.000
0.750 0.250 0.500


# 7
AcLaIr2 (PBE, relaxed); energy of formation = -2.01 eV/f.u.; spin magnetization = 0.000 Bohr magnetons per cell; E above lowest polymorph = 47.7 kJ/mol of formula units
1.0
-2.218 -2.692 1.315
-0.240 -1.472 -3.417
5.597 -3.968 1.317
Ir Ac La
2 1 1
direct
0.000 0.000 0.265
0.000 0.000 0.735
0.500 0.500 0.000
0.500 0.500 0.500


# 8
AcLa3Ir3 (PBE, relaxed); energy of formation = -4.51 eV/f.u.; spin magnetization = 0.000 Bohr magnetons per cell
1.0
8.050 0.000 4.098
2.982 7.477 4.098
1.209 0.820 7.579
Ir Ac La
6 2 6
direct
0.299 0.557 0.202
0.557 0.941 0.202
0.941 0.299 0.202
0.701 0.443 0.798
0.443 0.059 0.798
0.059 0.701 0.798
0.672 0.672 0.985
0.328 0.328 0.015
0.365 0.819 0.698
0.118 0.365 0.698
0.882 0.635 0.302
0.635 0.181 0.302
0.819 0.118 0.698
0.181 0.882 0.302


# 9
AcLa2Ir (PBE, relaxed); energy of formation = -1.22 eV/f.u.; spin magnetization = 0.000 Bohr magnetons per cell; E above lowest polymorph = 66.5 kJ/mol of formula units
1.0
3.713 0.000 0.000
0.000 3.713 0.000
0.000 0.000 9.517
Ir La Ac
1 2 1
direct
0.500 0.500 0.000
0.000 0.000 0.829
0.000 0.000 0.171
0.500 0.500 0.500


# 10
AcLa3Ir2 (PBE, relaxed); energy of formation = -3.69 eV/f.u.; spin magnetization = 0.000 Bohr magnetons per cell
1.0
-7.123 -5.509 1.555
-6.708 -5.557 -2.762
1.016 -12.789 0.239
Ir Ac La
4 2 6
direct
0.373 0.373 0.371
0.875 0.875 0.885
0.125 0.125 0.115
0.627 0.627 0.629
0.437 0.437 0.695
0.563 0.563 0.305
0.938 0.938 0.191
0.692 0.692 0.939
0.062 0.062 0.809
0.188 0.188 0.448
0.308 0.308 0.061
0.812 0.812 0.552


# 11
Ac5La2Ir4 (PBE, relaxed); energy of formation = -5.38 eV/f.u.; spin magnetization = 0.000 Bohr magnetons per cell
1.0
4.094 0.000 -0.999
-0.676 7.268 -2.771
0.711 0.314 11.808
Ac Ir La
5 4 2
direct
0.828 0.579 0.655
0.172 0.421 0.345
0.500 0.000 0.000
0.822 0.053 0.644
0.178 0.947 0.356
0.706 0.714 0.412
0.976 0.678 0.951
0.294 0.286 0.588
0.024 0.322 0.049
0.430 0.412 0.861
0.570 0.588 0.139


# 12
AcLaIr2 (PBE, relaxed); energy of formation = -2.51 eV/f.u.; spin magnetization = 0.000 Bohr magnetons per cell; E above lowest polymorph = 0.0 kJ/mol of formula units
1.0
-1.189 2.680 2.914
-3.206 -2.634 1.115
4.023 -3.915 2.319
Ac Ir La
1 2 1
direct
0.439 0.500 0.418
0.164 0.500 0.866
0.006 0.000 0.551
0.722 0.000 0.983